# PBE PuScTc2, optimized geometry
# ΔE to the lowest computed polymorph ... 0 meV/atom
# SG ... Fm-3m
# Energy relative to the elements ... -0.151 eV/atom
data_PuScTc2
_chemical_formula_sum 'Pu1 Sc1 Tc2'
_space_group_name_H-M_alt 'P 1'
_space_group_IT_number 1
_cell_length_a 4.645
_cell_length_b 4.645
_cell_length_c 4.645
_cell_angle_alpha 60.00
_cell_angle_beta 60.00
_cell_angle_gamma 60.00
loop_
_space_group_symop_operation_xyz
'x,y,z'
loop_
_atom_site_label
_atom_site_fract_x
_atom_site_fract_y
_atom_site_fract_z
Pu1 0.000 0.000 0.000
Sc1 0.500 0.500 0.500
Tc1 0.250 0.250 0.250
Tc2 0.750 0.750 0.750



# PBE PuScZnTc, optimized geometry
# SG ... F-43m
# Energy relative to the elements ... -0.065 eV/atom
data_PuScZnTc
_chemical_formula_sum 'Pu1 Sc1 Zn1 Tc1'
_space_group_name_H-M_alt 'P 1'
_space_group_IT_number 1
_cell_length_a 4.770
_cell_length_b 4.770
_cell_length_c 4.770
_cell_angle_alpha 60.00
_cell_angle_beta 60.00
_cell_angle_gamma 60.00
loop_
_space_group_symop_operation_xyz
'x,y,z'
loop_
_atom_site_label
_atom_site_fract_x
_atom_site_fract_y
_atom_site_fract_z
Pu1 0.000 0.000 0.000
Sc1 0.500 0.500 0.500
Zn1 0.750 0.750 0.750
Tc1 0.250 0.250 0.250



# PBE Pu2ScTe4, optimized geometry
# ΔE to the lowest computed polymorph ... 0 meV/atom
# E_form (uncorrected) ... -1.070 eV/atom
# SG ... C2/m
data_Pu2ScTe4
_chemical_formula_sum 'Pu2 Sc1 Te4'
_space_group_name_H-M_alt 'P 1'
_space_group_IT_number 1
_cell_length_a 8.234
_cell_length_b 8.234
_cell_length_c 7.726
_cell_angle_alpha 117.44
_cell_angle_beta 117.44
_cell_angle_gamma 30.46
loop_
_space_group_symop_operation_xyz
'x,y,z'
loop_
_atom_site_label
_atom_site_fract_x
_atom_site_fract_y
_atom_site_fract_z
Pu1 0.237 0.237 0.228
Pu2 0.763 0.763 0.772
Sc1 0.500 0.500 0.500
Te1 0.123 0.123 0.471
Te2 0.386 0.386 0.073
Te3 0.614 0.614 0.927
Te4 0.877 0.877 0.529



# PBE Pu3ScTe4, optimized geometry
# E_form (uncorrected) ... -1.068 eV/atom
# SG ... Cmmm
data_Pu3ScTe4
_chemical_formula_sum 'Pu3 Sc1 Te4'
_space_group_name_H-M_alt 'P 1'
_space_group_IT_number 1
_cell_length_a 7.573
_cell_length_b 7.573
_cell_length_c 4.365
_cell_angle_alpha 90.00
_cell_angle_beta 90.00
_cell_angle_gamma 109.56
loop_
_space_group_symop_operation_xyz
'x,y,z'
loop_
_atom_site_label
_atom_site_fract_x
_atom_site_fract_y
_atom_site_fract_z
Pu1 0.000 0.000 0.000
Pu2 0.000 0.500 0.500
Pu3 0.500 0.000 0.500
Sc1 0.500 0.500 0.000
Te1 0.257 0.743 0.000
Te2 0.263 0.263 0.500
Te3 0.737 0.737 0.500
Te4 0.743 0.257 0.000



# PBE Pu2ScTe4, optimized geometry
# ΔE to the lowest computed polymorph ... 63 meV/atom
# E_form (uncorrected) ... -1.006 eV/atom
# SG ... Cmcm
data_Pu2ScTe4
_chemical_formula_sum 'Pu4 Sc2 Te8'
_space_group_name_H-M_alt 'P 1'
_space_group_IT_number 1
_cell_length_a 7.500
_cell_length_b 7.500
_cell_length_c 15.017
_cell_angle_alpha 90.00
_cell_angle_beta 90.00
_cell_angle_gamma 147.79
loop_
_space_group_symop_operation_xyz
'x,y,z'
loop_
_atom_site_label
_atom_site_fract_x
_atom_site_fract_y
_atom_site_fract_z
Pu1 0.136 0.864 0.572
Pu2 0.136 0.864 0.928
Pu3 0.864 0.136 0.072
Pu4 0.864 0.136 0.428
Sc1 0.375 0.625 0.750
Sc2 0.625 0.375 0.250
Te1 0.022 0.978 0.750
Te2 0.214 0.786 0.127
Te3 0.214 0.786 0.373
Te4 0.500 0.500 0.000
Te5 0.500 0.500 0.500
Te6 0.786 0.214 0.627
Te7 0.786 0.214 0.873
Te8 0.978 0.022 0.250



# PBE PuSc6Te8, optimized geometry
# E_form (uncorrected) ... -1.146 eV/atom
# SG ... Fm-3m
data_PuSc6Te8
_chemical_formula_sum 'Pu1 Sc6 Te8'
_space_group_name_H-M_alt 'P 1'
_space_group_IT_number 1
_cell_length_a 8.334
_cell_length_b 8.334
_cell_length_c 8.334
_cell_angle_alpha 60.00
_cell_angle_beta 60.00
_cell_angle_gamma 60.00
loop_
_space_group_symop_operation_xyz
'x,y,z'
loop_
_atom_site_label
_atom_site_fract_x
_atom_site_fract_y
_atom_site_fract_z
Pu1 0.000 0.000 0.000
Sc1 0.000 0.000 0.500
Sc2 0.000 0.500 0.000
Sc3 0.000 0.500 0.500
Sc4 0.500 0.000 0.000
Sc5 0.500 0.000 0.500
Sc6 0.500 0.500 0.000
Te1 0.250 0.250 0.250
Te2 0.263 0.263 0.737
Te3 0.263 0.737 0.263
Te4 0.263 0.737 0.737
Te5 0.737 0.263 0.263
Te6 0.737 0.263 0.737
Te7 0.737 0.737 0.263
Te8 0.750 0.750 0.750



# PBE Pu5Sc3Te8, optimized geometry
# E_form (uncorrected) ... -1.098 eV/atom
# SG ... R-3m
data_Pu5Sc3Te8
_chemical_formula_sum 'Pu5 Sc3 Te8'
_space_group_name_H-M_alt 'P 1'
_space_group_IT_number 1
_cell_length_a 8.689
_cell_length_b 8.689
_cell_length_c 8.689
_cell_angle_alpha 59.61
_cell_angle_beta 59.61
_cell_angle_gamma 59.61
loop_
_space_group_symop_operation_xyz
'x,y,z'
loop_
_atom_site_label
_atom_site_fract_x
_atom_site_fract_y
_atom_site_fract_z
Pu1 0.000 0.000 0.000
Pu2 0.000 0.500 0.500
Pu3 0.500 0.000 0.500
Pu4 0.500 0.500 0.000
Pu5 0.500 0.500 0.500
Sc1 0.000 0.000 0.500
Sc2 0.000 0.500 0.000
Sc3 0.500 0.000 0.000
Te1 0.238 0.750 0.750
Te2 0.244 0.244 0.244
Te3 0.250 0.250 0.762
Te4 0.250 0.762 0.250
Te5 0.750 0.238 0.750
Te6 0.750 0.750 0.238
Te7 0.756 0.756 0.756
Te8 0.762 0.250 0.250



# PBE PuSc2Te3, optimized geometry
# E_form (uncorrected) ... -1.081 eV/atom
# SG ... Cmmm
data_PuSc2Te3
_chemical_formula_sum 'Pu2 Sc4 Te6'
_space_group_name_H-M_alt 'P 1'
_space_group_IT_number 1
_cell_length_a 9.515
_cell_length_b 9.515
_cell_length_c 6.022
_cell_angle_alpha 90.00
_cell_angle_beta 90.00
_cell_angle_gamma 143.02
loop_
_space_group_symop_operation_xyz
'x,y,z'
loop_
_atom_site_label
_atom_site_fract_x
_atom_site_fract_y
_atom_site_fract_z
Pu1 0.168 0.832 0.000
Pu2 0.832 0.168 0.000
Sc1 0.000 0.000 0.500
Sc2 0.331 0.669 0.500
Sc3 0.500 0.500 0.000
Sc4 0.669 0.331 0.500
Te1 0.000 0.000 0.000
Te2 0.165 0.835 0.500
Te3 0.339 0.661 0.000
Te4 0.500 0.500 0.500
Te5 0.661 0.339 0.000
Te6 0.835 0.165 0.500



# PBE Pu2ThScTe4, optimized geometry
# E_form (uncorrected) ... -1.060 eV/atom
# SG ... P2/m
data_Pu2ThScTe4
_chemical_formula_sum 'Pu2 Th1 Sc1 Te4'
_space_group_name_H-M_alt 'P 1'
_space_group_IT_number 1
_cell_length_a 7.444
_cell_length_b 4.332
_cell_length_c 7.787
_cell_angle_alpha 90.00
_cell_angle_beta 108.99
_cell_angle_gamma 90.00
loop_
_space_group_symop_operation_xyz
'x,y,z'
loop_
_atom_site_label
_atom_site_fract_x
_atom_site_fract_y
_atom_site_fract_z
Pu1 0.000 0.000 0.000
Pu2 0.000 0.500 0.500
Th1 0.500 0.000 0.500
Sc1 0.500 0.500 0.000
Te1 0.251 0.500 0.237
Te2 0.261 0.000 0.765
Te3 0.739 0.000 0.235
Te4 0.749 0.500 0.763



# PBE PuTh2ScTe4, optimized geometry
# E_form (uncorrected) ... -1.048 eV/atom
# SG ... P2/m
data_PuTh2ScTe4
_chemical_formula_sum 'Pu1 Th2 Sc1 Te4'
_space_group_name_H-M_alt 'P 1'
_space_group_IT_number 1
_cell_length_a 7.388
_cell_length_b 4.258
_cell_length_c 7.935
_cell_angle_alpha 90.00
_cell_angle_beta 108.00
_cell_angle_gamma 90.00
loop_
_space_group_symop_operation_xyz
'x,y,z'
loop_
_atom_site_label
_atom_site_fract_x
_atom_site_fract_y
_atom_site_fract_z
Pu1 0.000 0.000 0.000
Th1 0.000 0.500 0.500
Th2 0.500 0.000 0.500
Sc1 0.500 0.500 0.000
Te1 0.253 0.500 0.234
Te2 0.266 0.000 0.771
Te3 0.734 0.000 0.229
Te4 0.747 0.500 0.766



# PBE PuSc2Tl3Te6, optimized geometry
# E_form (uncorrected) ... -0.865 eV/atom
# SG ... C2/m
data_PuSc2Tl3Te6
_chemical_formula_sum 'Pu1 Sc2 Tl3 Te6'
_space_group_name_H-M_alt 'P 1'
_space_group_IT_number 1
_cell_length_a 7.539
_cell_length_b 7.539
_cell_length_c 8.477
_cell_angle_alpha 98.53
_cell_angle_beta 98.53
_cell_angle_gamma 119.94
loop_
_space_group_symop_operation_xyz
'x,y,z'
loop_
_atom_site_label
_atom_site_fract_x
_atom_site_fract_y
_atom_site_fract_z
Pu1 0.000 0.000 0.000
Sc1 0.332 0.668 0.000
Sc2 0.668 0.332 0.000
Tl1 0.161 0.839 0.500
Tl2 0.500 0.500 0.500
Tl3 0.839 0.161 0.500
Te1 0.070 0.418 0.208
Te2 0.281 0.281 0.796
Te3 0.418 0.070 0.208
Te4 0.582 0.930 0.792
Te5 0.719 0.719 0.204
Te6 0.930 0.582 0.792



# PBE Pu3ScTl3Te8, optimized geometry
# E_form (uncorrected) ... -0.823 eV/atom
# SG ... C2/m
data_Pu3ScTl3Te8
_chemical_formula_sum 'Pu3 Sc1 Tl3 Te8'
_space_group_name_H-M_alt 'P 1'
_space_group_IT_number 1
_cell_length_a 8.799
_cell_length_b 8.799
_cell_length_c 9.655
_cell_angle_alpha 117.08
_cell_angle_beta 117.08
_cell_angle_gamma 60.03
loop_
_space_group_symop_operation_xyz
'x,y,z'
loop_
_atom_site_label
_atom_site_fract_x
_atom_site_fract_y
_atom_site_fract_z
Pu1 0.000 0.000 0.000
Pu2 0.000 0.500 0.000
Pu3 0.500 0.000 0.000
Sc1 0.500 0.500 0.000
Tl1 0.000 0.500 0.500
Tl2 0.500 0.000 0.500
Tl3 0.500 0.500 0.500
Te1 0.238 0.238 0.215
Te2 0.247 0.729 0.206
Te3 0.270 0.270 0.793
Te4 0.271 0.753 0.794
Te5 0.729 0.247 0.206
Te6 0.730 0.730 0.207
Te7 0.753 0.271 0.794
Te8 0.762 0.762 0.785



Number 1: ρ 11.4 g/cm³. Number 2: ρ 9.8 g/cm³. Number 3: ρ 7.4 g/cm³. Number 4: ρ 9.1 g/cm³. Number 5: ρ 7.7 g/cm³. Number 6: ρ 6.2 g/cm³. Number 7: ρ 8.6 g/cm³. Number 8: ρ 7.3 g/cm³. Number 9: ρ 8.9 g/cm³. Number 10: ρ 8.8 g/cm³. Number 11: ρ 7.1 g/cm³. Number 12: ρ 7.3 g/cm³.